# 1
Mg2Sb after structural relaxation. Source: Alexandria via LeMat-Bulk, functional GGA-PBE.

Output
Its space group is No. 140. For the uncorrected formation energy, the calculation gives -15 kJ/mol of atoms.

a b c (Å): 5.9721 5.9721 5.9721
angles (deg): 117.04 117.04 95.21
Positions (direct):
Mg: 0.6924 0.8076 0.5000
Mg: 0.1924 0.6924 0.8849
Mg: 0.3076 0.1924 0.5000
Mg: 0.8076 0.3076 0.1151
Sb: 0.2500 0.2500 0.0000
Sb: 0.7500 0.7500 0.0000

# 2
Tb2Sm2Rh3 after structural relaxation. Source: Alexandria via LeMat-Bulk, functional GGA-PBE.

Output
The formation energy is -0.722 eV/atom. Its space group is No. 12.

a b c (Å): 4.8511 4.8396 8.5732
angles (deg): 89.92 106.46 120.04
Positions (direct):
Tb: 0.7496 0.3750 0.1239
Tb: 0.2504 0.6250 0.8761
Sm: 0.2487 0.1244 0.3730
Sm: 0.7513 0.8756 0.6270
Rh: 0.0000 0.0000 0.0000
Rh: 0.4965 0.7486 0.2439
Rh: 0.5035 0.2514 0.7561

# 3
Zr2CuAu2 after structural relaxation. Source: Alexandria via LeMat-Bulk, functional GGA-PBE.

Output
The formation energy is -0.071 eV/atom. Its space group is No. 127.

a b c (Å): 7.6743 7.6743 3.5121
angles (deg): 90.00 90.00 90.00
Positions (direct):
Au: 0.1318 0.6318 0.5000
Au: 0.8682 0.3682 0.5000
Au: 0.6318 0.8682 0.5000
Au: 0.3682 0.1318 0.5000
Zr: 0.8305 0.6695 0.0000
Zr: 0.1695 0.3305 0.0000
Zr: 0.3305 0.8305 0.0000
Zr: 0.6695 0.1695 0.0000
Cu: 0.5000 0.5000 0.0000
Cu: 0.0000 0.0000 0.0000

# 4
La4TbY15 after structural relaxation. Source: Alexandria via LeMat-Bulk, functional GGA-PBE.

Output
The formation energy is 0.030 eV/atom. Its space group is No. 123.

a b c (Å): 5.1205 5.1205 25.3819
angles (deg): 90.00 90.00 90.00
Positions (direct):
Y: 0.5000 0.5000 0.1981
Y: 0.0000 0.5000 0.5000
Y: 0.0000 0.5000 0.9025
Y: 0.5000 0.0000 0.0975
Y: 0.5000 0.5000 0.8019
Y: 0.5000 0.5000 0.0000
Y: 0.0000 0.5000 0.7012
Y: 0.5000 0.5000 0.3995
Y: 0.5000 0.0000 0.7012
Y: 0.5000 0.0000 0.5000
Y: 0.0000 0.5000 0.0975
Y: 0.5000 0.5000 0.6005
Y: 0.5000 0.0000 0.2988
Y: 0.5000 0.0000 0.9025
Y: 0.0000 0.5000 0.2988
La: 0.0000 0.0000 0.1993
La: 0.0000 0.0000 0.8007
La: 0.0000 0.0000 0.3993
La: 0.0000 0.0000 0.6007
Tb: 0.0000 0.0000 0.0000

# 5
Rb3Sc2Br9 after structural relaxation. Source: Alexandria via LeMat-Bulk, functional GGA-PBE.

Output
Its space group is No. 167. For the uncorrected formation energy, the calculation gives -170 kJ/mol of atoms.

a b c (Å): 10.0801 10.0801 10.0801
angles (deg): 82.26 82.26 82.26
Positions (direct):
Br: 0.0932 0.2500 0.4068
Br: 0.5893 0.7648 0.4252
Br: 0.4252 0.5893 0.7648
Br: 0.0748 0.7352 0.9107
Br: 0.9107 0.0748 0.7352
Br: 0.2500 0.4068 0.0932
Br: 0.9252 0.2648 0.0893
Br: 0.5748 0.4107 0.2352
Br: 0.4107 0.2352 0.5748
Br: 0.2648 0.0893 0.9252
Br: 0.5932 0.9068 0.7500
Br: 0.7500 0.5932 0.9068
Br: 0.9068 0.7500 0.5932
Br: 0.2352 0.5748 0.4107
Br: 0.7352 0.9107 0.0748
Br: 0.4068 0.0932 0.2500
Br: 0.0893 0.9252 0.2648
Br: 0.7648 0.4252 0.5893
Rb: 0.7500 0.0856 0.4144
Rb: 0.5856 0.2500 0.9144
Rb: 0.0856 0.4144 0.7500
Rb: 0.9144 0.5856 0.2500
Rb: 0.4144 0.7500 0.0856
Rb: 0.2500 0.9144 0.5856
Sc: 0.3438 0.3438 0.3438
Sc: 0.1562 0.1562 0.1562
Sc: 0.6562 0.6562 0.6562
Sc: 0.8438 0.8438 0.8438

# 6
MgCr2Ag after structural relaxation. Source: Alexandria via LeMat-Bulk, functional GGA-PBE.

Output
The formation energy is 0.665 eV/atom. Its space group is No. 166.

a b c (Å): 9.4538 9.4538 9.4538
angles (deg): 18.03 18.03 18.03
Positions (direct):
Mg: 0.2500 0.2500 0.2500
Cr: 0.4990 0.4990 0.4990
Cr: 0.0010 0.0010 0.0010
Ag: 0.7500 0.7500 0.7500

Number 1: V 156.66 Å³/cell. Number 2: V 164.69 Å³/cell. Number 3: V 206.84 Å³/cell. Number 4: V 665.49 Å³/cell. Number 5: V 998.51 Å³/cell. Number 6: V 70.71 Å³/cell.